(1)
Density functional theory data (PBEsol) for a relaxed structure of BeAu.

```
data_BeAu
_cell_length_a 3.261
_cell_length_b 3.764
_cell_length_c 4.872
_cell_angle_alpha 112.72
_cell_angle_beta 109.55
_cell_angle_gamma 90.00
_symmetry_space_group_name_H-M 'P 1'
_symmetry_Int_Tables_number 1
loop_
_symmetry_equiv_pos_as_xyz
'x,y,z'
loop_
_atom_site_label
_atom_site_type_symbol
_atom_site_fract_x
_atom_site_fract_y
_atom_site_fract_z
Au1 Au 0.881 0.131 0.763
Au2 Au 0.119 0.869 0.237
Be1 Be 0.383 0.633 0.767
Be2 Be 0.617 0.367 0.233
```

Results
E_tot   -4.064 eV/atom
Magnetization   0.000 μB/atom
V   12.850 A^3/atom

---

(2)
Density functional theory data (PBEsol) for a relaxed structure of BeAu2.

```
data_BeAu2
_cell_length_a 4.000
_cell_length_b 4.000
_cell_length_c 4.000
_cell_angle_alpha 60.00
_cell_angle_beta 60.00
_cell_angle_gamma 60.00
_symmetry_space_group_name_H-M 'P 1'
_symmetry_Int_Tables_number 1
loop_
_symmetry_equiv_pos_as_xyz
'x,y,z'
loop_
_atom_site_label
_atom_site_type_symbol
_atom_site_fract_x
_atom_site_fract_y
_atom_site_fract_z
Be1 Be 0.000 0.000 0.000
Au1 Au 0.250 0.250 0.250
Au2 Au 0.750 0.750 0.750
```

Results
E_tot   -4.061 eV/atom
Magnetization   0.000 μB/atom
E above lowest polymorph   0.067 eV/atom
V   15.087 A^3/atom

---

(3)
Density functional theory data (PBEsol) for a relaxed structure of BeAu2.

```
data_BeAu2
_cell_length_a 2.904
_cell_length_b 2.904
_cell_length_c 5.375
_cell_angle_alpha 105.67
_cell_angle_beta 105.67
_cell_angle_gamma 90.00
_symmetry_space_group_name_H-M 'P 1'
_symmetry_Int_Tables_number 1
loop_
_symmetry_equiv_pos_as_xyz
'x,y,z'
loop_
_atom_site_label
_atom_site_type_symbol
_atom_site_fract_x
_atom_site_fract_y
_atom_site_fract_z
Be1 Be 0.500 0.500 0.000
Au1 Au 0.858 0.858 0.715
Au2 Au 0.142 0.142 0.285
```

Results
E_tot   -4.128 eV/atom
Magnetization   0.000 μB/atom
E above lowest polymorph   0.000 eV/atom
V   13.960 A^3/atom

---

(4)
Density functional theory data (PBEsol) for a relaxed structure of BeAu4.

```
data_BeAu4
_cell_length_a 2.823
_cell_length_b 5.388
_cell_length_c 5.388
_cell_angle_alpha 86.07
_cell_angle_beta 74.82
_cell_angle_gamma 74.82
_symmetry_space_group_name_H-M 'P 1'
_symmetry_Int_Tables_number 1
loop_
_symmetry_equiv_pos_as_xyz
'x,y,z'
loop_
_atom_site_label
_atom_site_type_symbol
_atom_site_fract_x
_atom_site_fract_y
_atom_site_fract_z
Au1 Au 0.233 0.340 0.194
Au2 Au 0.767 0.660 0.806
Au3 Au 0.427 0.806 0.340
Be1 Be 0.000 0.000 0.000
Au4 Au 0.573 0.194 0.660
```

Results
E_tot   -4.039 eV/atom
Magnetization   0.000 μB/atom
E above lowest polymorph   0.000 eV/atom
V   15.266 A^3/atom

---

(5)
Density functional theory data (PBEsol) for a relaxed structure of Be5Au4.

```
data_Be5Au4
_cell_length_a 3.572
_cell_length_b 5.837
_cell_length_c 5.837
_cell_angle_alpha 84.63
_cell_angle_beta 72.18
_cell_angle_gamma 72.18
_symmetry_space_group_name_H-M 'P 1'
_symmetry_Int_Tables_number 1
loop_
_symmetry_equiv_pos_as_xyz
'x,y,z'
loop_
_atom_site_label
_atom_site_type_symbol
_atom_site_fract_x
_atom_site_fract_y
_atom_site_fract_z
Be1 Be 0.000 0.000 0.000
Au1 Au 0.702 0.298 0.298
Be2 Be 0.664 0.000 0.673
Au2 Au 0.000 0.298 0.702
Au3 Au 0.298 0.702 0.702
Be3 Be 0.336 0.327 0.000
Au4 Au 0.000 0.702 0.298
Be4 Be 0.664 0.673 0.000
Be5 Be 0.336 0.000 0.327
```

Results
E_tot   -4.084 eV/atom
Magnetization   0.000 μB/atom
V   12.254 A^3/atom

---

(6)
Density functional theory data (PBEsol) for a relaxed structure of BeAu.

```
data_BeAu
_cell_length_a 2.862
_cell_length_b 3.867
_cell_length_c 4.754
_cell_angle_alpha 90.00
_cell_angle_beta 107.52
_cell_angle_gamma 90.00
_symmetry_space_group_name_H-M 'P 1'
_symmetry_Int_Tables_number 1
loop_
_symmetry_equiv_pos_as_xyz
'x,y,z'
loop_
_atom_site_label
_atom_site_type_symbol
_atom_site_fract_x
_atom_site_fract_y
_atom_site_fract_z
Au1 Au 0.648 0.750 0.297
Au2 Au 0.352 0.250 0.703
Be1 Be 0.926 0.750 0.852
Be2 Be 0.074 0.250 0.148
```

Results
E_tot   -4.115 eV/atom
Magnetization   0.000 μB/atom
V   12.542 A^3/atom